{"formula": "Li2LaTa", "functional": "PBE", "state": "relaxed", "density_g_cm3": 6.426, "final_energy_ev_per_atom": -4.68, "n_ef_per_ev_cell": 3.47, "spacegroup": "Cmmm, No. 65", "delta_e_f_kj_per_mol_atoms": 46, "e_above_lowest_polymorph_ev_per_fu": 0.52, "lattice": [[1.520, -2.530, 0.000], [1.520, 2.530, 0.000], [0.000, 0.000, 11.212]], "species": ["Li", "Li", "La", "Ta"], "fractional_positions": [[0.000, 0.000, 0.225], [0.000, 0.000, 0.775], [0.500, 0.500, 0.500], [0.500, 0.500, 0.000]]}

{"formula": "Li8CaAg2", "functional": "PBE", "state": "relaxed", "density_g_cm3": 1.685, "final_energy_ev_per_atom": -1.94, "n_ef_per_ev_cell": 6.20, "spacegroup": "I4/mmm, No. 139", "delta_e_f_kj_per_mol_atoms": 15, "lattice": [[-2.922, 2.922, 8.984], [2.922, -2.922, 8.984], [2.922, 2.922, -8.984]], "species": ["Li", "Li", "Li", "Li", "Li", "Li", "Li", "Li", "Ca", "Ag", "Ag"], "fractional_positions": [[0.090, 0.090, 0.493], [0.090, 0.597, 0.000], [0.403, 0.403, 0.493], [0.403, 0.910, 0.000], [0.597, 0.090, 0.000], [0.597, 0.597, 0.507], [0.910, 0.403, 0.000], [0.910, 0.910, 0.507], [0.000, 0.000, 0.000], [0.250, 0.750, 0.500], [0.750, 0.250, 0.500]]}

{"formula": "PrSm5Hg4", "functional": "PBE", "state": "relaxed", "density_g_cm3": 9.748, "final_energy_ev_per_atom": -3.33, "n_ef_per_ev_cell": 12.39, "spacegroup": "P4/mmm, No. 123", "delta_e_f_kj_per_mol_atoms": -36, "lattice": [[3.767, 0.000, 0.000], [0.000, 3.767, 0.000], [0.000, 0.000, 20.346]], "species": ["Pr", "Sm", "Sm", "Sm", "Sm", "Sm", "Hg", "Hg", "Hg", "Hg"], "fractional_positions": [[0.000, 0.000, 0.000], [0.500, 0.500, 0.124], [0.500, 0.500, 0.313], [0.500, 0.500, 0.500], [0.500, 0.500, 0.687], [0.500, 0.500, 0.876], [0.000, 0.000, 0.216], [0.000, 0.000, 0.405], [0.000, 0.000, 0.595], [0.000, 0.000, 0.784]]}

{"formula": "SmY5Au6", "functional": "PBE", "state": "relaxed", "density_g_cm3": 10.360, "final_energy_ev_per_atom": -5.57, "n_ef_per_ev_cell": 6.58, "spacegroup": "C2/m, No. 12", "delta_e_f_kj_per_mol_atoms": -82, "lattice": [[4.432, -7.687, 0.000], [4.432, 7.687, 0.000], [-2.933, 0.000, 4.179]], "species": ["Sm", "Y", "Y", "Y", "Y", "Y", "Au", "Au", "Au", "Au", "Au", "Au"], "fractional_positions": [[0.000, 0.000, 0.000], [0.166, 0.834, 0.500], [0.333, 0.667, 0.000], [0.500, 0.500, 0.500], [0.667, 0.333, 0.000], [0.834, 0.166, 0.500], [0.084, 0.422, 0.253], [0.257, 0.257, 0.757], [0.422, 0.084, 0.253], [0.578, 0.916, 0.747], [0.743, 0.743, 0.243], [0.916, 0.578, 0.747]]}

{"formula": "Tb3CeSb3", "functional": "PBE", "state": "relaxed", "e_form_raw_mev_per_atom": -785.9, "density_g_cm3": 7.902, "final_energy_ev_per_atom": -5.38, "n_ef_per_ev_cell": 18.95, "spacegroup": "P6_3/m, No. 176", "e_above_lowest_polymorph_ev_per_fu": 1.36, "lattice": [[9.104, 0.000, 0.000], [-4.552, 7.884, 0.000], [0.000, 0.000, 5.751]], "species": ["Tb", "Tb", "Tb", "Tb", "Tb", "Tb", "Ce", "Ce", "Sb", "Sb", "Sb", "Sb", "Sb", "Sb"], "fractional_positions": [[0.015, 0.252, 0.250], [0.237, 0.985, 0.250], [0.252, 0.237, 0.750], [0.748, 0.763, 0.250], [0.763, 0.015, 0.750], [0.985, 0.748, 0.750], [0.333, 0.667, 0.250], [0.667, 0.333, 0.750], [0.059, 0.425, 0.750], [0.366, 0.941, 0.750], [0.425, 0.366, 0.250], [0.575, 0.634, 0.750], [0.634, 0.059, 0.250], [0.941, 0.575, 0.250]]}

{"formula": "RbCuB2As", "functional": "PBE", "state": "relaxed", "density_g_cm3": 2.955, "final_energy_ev_per_atom": -1.60, "n_ef_per_ev_cell": 3.96, "spacegroup": "P4/mmm, No. 123", "delta_e_f_kj_per_mol_atoms": 291, "lattice": [[4.878, 0.000, 0.000], [0.000, 4.878, 0.000], [0.000, 0.000, 5.798]], "species": ["Rb", "Cu", "B", "B", "As"], "fractional_positions": [[0.000, 0.000, 0.000], [0.500, 0.500, 0.500], [0.000, 0.500, 0.000], [0.500, 0.000, 0.000], [0.000, 0.000, 0.500]]}

{"formula": "YThPt2", "functional": "PBE", "state": "relaxed", "density_g_cm3": 12.547, "final_energy_ev_per_atom": -7.77, "n_ef_per_ev_cell": 5.40, "spacegroup": "P2_1/m, No. 11", "delta_e_f_kj_per_mol_atoms": -123, "e_above_lowest_polymorph_ev_per_fu": 0.00, "lattice": [[5.839, 0.000, 0.000], [0.000, 4.450, 0.000], [-2.485, 0.000, 7.244]], "species": ["Y", "Y", "Th", "Th", "Pt", "Pt", "Pt", "Pt"], "fractional_positions": [[0.216, 0.250, 0.177], [0.784, 0.750, 0.823], [0.234, 0.250, 0.686], [0.766, 0.750, 0.314], [0.307, 0.750, 0.449], [0.318, 0.750, 0.957], [0.682, 0.250, 0.043], [0.693, 0.250, 0.551]]}

{"formula": "Re3RhO", "functional": "PBE", "state": "relaxed", "e_form_raw_mev_per_atom": 354.7, "density_g_cm3": 16.764, "final_energy_ev_per_atom": -9.58, "n_ef_per_ev_cell": 4.10, "spacegroup": "Pm-3m, No. 221", "e_above_lowest_polymorph_ev_per_fu": 0.00, "lattice": [[4.064, 0.000, 0.000], [0.000, 4.064, 0.000], [0.000, 0.000, 4.064]], "species": ["Re", "Re", "Re", "Rh", "O"], "fractional_positions": [[0.000, 0.000, 0.500], [0.000, 0.500, 0.000], [0.500, 0.000, 0.000], [0.500, 0.500, 0.500], [0.000, 0.000, 0.000]]}

> Which formula does entry 2 have?

Li8CaAg2